First-principles (PBE) data for a geometry-optimized TbSm3Th2 structure, as listed in Alexandria.

Cell: 5.0890 5.1088 8.0186 Å, 90.00 108.50 90.00°
Sites, in units of the cell vectors:
1 Tb 0.0000 0.0000 0.0000
2 Sm 0.3310 0.0000 0.6620
3 Sm 0.6690 0.0000 0.3380
4 Sm 0.5000 0.5000 0.0000
5 Th 0.1676 0.5000 0.3352
6 Th 0.8324 0.5000 0.6648

- ΔH_f (0 K) (eV per atom) = 0.06
- DOS at the Fermi energy (states/eV/cell) = 8.4
- space group = Cmmm
- M_tot (Bohr magnetons per cell) = 0.00